A plane-wave DFT calculation with PBE was carried out for crystalline ErTmOs at its relaxed geometry.

The space group is P4_2/mmc (No. 131) and the conventional cell measures 4.728, 4.728 and 6.689 Å, with angles of 90.00, 90.00 and 90.00 degrees. The asymmetric unit holds Er at (0.000, 0.000, 0.250), Tm at (0.500, 0.500, 0.250) and Os at (0.000, 0.500, 0.000).

The relative energy among the computed polymorphs is 10 kJ/mol of formula units. For the total DFT energy (no corrections), the calculation gives -7.014 eV per atom. The value obtained for the total moment is 0.000 Bohr magnetons per cell.

***

A plane-wave DFT calculation with PBE was carried out for crystalline ErTmOs at its relaxed geometry.

The space group is F-43m (No. 216) and the conventional cell measures 6.688, 6.688 and 6.688 Å, with angles of 90.00, 90.00 and 90.00 degrees. The asymmetric unit holds Er at (0.000, 0.000, 0.000), Tm at (0.000, 0.000, 0.500) and Os at (0.250, 0.250, 0.750).

The relative energy among the computed polymorphs is 9 kJ/mol of formula units. For the total DFT energy (no corrections), the calculation gives -7.018 eV per atom. The value obtained for the total moment is 0.000 Bohr magnetons per cell.

***

A plane-wave DFT calculation with PBE was carried out for crystalline ErTm4Os2 at its relaxed geometry.

The space group is P2_1/m (No. 11) and the conventional cell measures 7.708, 6.172 and 7.844 Å, with angles of 90.00, 112.11 and 90.00 degrees. The asymmetric unit holds Er at (0.026, 0.250, 0.159), Tm at (0.239, 0.501, 0.580), Tm at (0.328, 0.750, 0.251), Tm at (0.381, 0.250, 0.020), Os at (0.026, 0.250, 0.746) and Os at (0.415, 0.250, 0.376).

For the total DFT energy (no corrections), the calculation gives -6.650 eV per atom. The value obtained for the total moment is 0.000 Bohr magnetons per cell.

***

A plane-wave DFT calculation with PBE was carried out for crystalline ErTm3Os at its relaxed geometry.

The space group is C2/m (No. 12) and the conventional cell measures 17.088, 3.520 and 9.469 Å, with angles of 90.00, 106.04 and 90.00 degrees. The asymmetric unit holds Er at (0.193, 0.000, 0.309), Tm at (0.001, 0.500, 0.175), Tm at (0.099, 0.500, 0.540), Tm at (0.186, 0.000, 0.870) and Os at (0.138, 0.500, 0.066).

The relative energy among the computed polymorphs is 80 kJ/mol of formula units. For the total DFT energy (no corrections), the calculation gives -5.853 eV per atom. The value obtained for the total moment is 1.358 Bohr magnetons per cell.

***

A plane-wave DFT calculation with PBE was carried out for crystalline ErUOs2 at its relaxed geometry.

The space group is Fm-3m (No. 225) and the conventional cell measures 6.783, 6.783 and 6.783 Å, with angles of 90.00, 90.00 and 90.00 degrees. The asymmetric unit holds Er at (0.000, 0.000, 0.000), U at (0.000, 0.000, 0.500) and Os at (0.250, 0.250, 0.250).

For the total DFT energy (no corrections), the calculation gives -9.666 eV per atom. The value obtained for the total moment is 5.976 Bohr magnetons per cell.

***

A plane-wave DFT calculation with PBE was carried out for crystalline ErUOs2 at its relaxed geometry.

The space group is P4/mmm (No. 123) and the conventional cell measures 3.431, 3.431 and 6.680 Å, with angles of 90.00, 90.00 and 90.00 degrees. The asymmetric unit holds Er at (0.000, 0.000, 0.000), U at (0.000, 0.000, 0.500) and Os at (0.500, 0.500, 0.278).

For the total DFT energy (no corrections), the calculation gives -9.756 eV per atom. The value obtained for the total moment is 0.272 Bohr magnetons per cell.

***

A plane-wave DFT calculation with PBE was carried out for crystalline Er3U2Os4 at its relaxed geometry.

The space group is C2/m (No. 12) and the conventional cell measures 10.636, 4.305 and 8.779 Å, with angles of 90.00, 100.31 and 90.00 degrees. The asymmetric unit holds Er at (0.000, 0.000, 0.000), Er at (0.126, 0.500, 0.386), U at (0.174, 0.500, 0.777), Os at (0.084, 0.000, 0.629) and Os at (0.216, 0.500, 0.092).

For the total DFT energy (no corrections), the calculation gives -9.228 eV per atom. The value obtained for the total moment is 2.781 Bohr magnetons per cell.

***

A plane-wave DFT calculation with PBE was carried out for crystalline Er2VOs at its relaxed geometry.

The space group is R-3m (No. 166, hexagonal axes) and the conventional cell measures 3.2036, 3.2036 and 29.9452 Å, with angles of 90.00, 90.00 and 120.00 degrees. The asymmetric unit holds Er at (0.0000, 0.0000, 0.0959), V at (0.0000, 0.0000, 0.0000) and Os at (0.0000, 0.0000, 0.5000).

For the total DFT energy (no corrections), the calculation gives -6.753 eV per atom. The value obtained for the total moment is 7.205 Bohr magnetons per cell.

***

| no. | calculated volume (Å³ per atom) |
| --- | --- |
| 1 | 24.92 |
| 2 | 24.92 |
| 3 | 24.69 |
| 4 | 27.37 |
| 5 | 19.50 |
| 6 | 19.66 |
| 7 | 21.97 |
| 8 | 22.18 |